Entry from Alexandria via LeMat-Bulk: a geometry-optimized ScTaTl2 structure (PBE).

Calculated values
ρ (g cm⁻³): 12.27

Unit cell a=4.448 b=4.448 c=8.686 alpha=90.00 beta=90.00 gamma=90.00
Space group I4/mmm (No. 139)
Unique sites:
Sc  0.000  0.000  0.000
Ta  0.000  0.000  0.500
Tl  0.000  0.500  0.250


Entry from Alexandria via LeMat-Bulk: a geometry-optimized Sc2TaTl structure (PBE).

Calculated values
ρ (g cm⁻³): 9.20

Unit cell a=7.000 b=7.000 c=7.000 alpha=90.00 beta=90.00 gamma=90.00
Space group Fm-3m (No. 225)
Unique sites:
Sc  0.250  0.250  0.250
Ta  0.000  0.000  0.000
Tl  0.000  0.000  0.500


Entry from Alexandria via LeMat-Bulk: a geometry-optimized ScTa2Tl structure (PBE).

Calculated values
ρ (g cm⁻³): 12.72

Unit cell a=6.834 b=6.834 c=6.834 alpha=90.00 beta=90.00 gamma=90.00
Space group Fm-3m (No. 225)
Unique sites:
Sc  0.000  0.000  0.000
Ta  0.250  0.250  0.250
Tl  0.000  0.000  0.500


Computed values of VASP energy (unit: eV per cell) for the preceding records, in sequence: -43.84 -104.79 -119.21.
Computed values of ΔH_f (0 K) (unit: meV/atom) for the preceding records, in sequence: 249 171 650.
Computed values of volume (unit: Å³/f.u.) for the preceding records, in sequence: 86 86 80.